Entry 1:
Entry from Alexandria via LeMat-Bulk: a relaxed structure of DyBeSiIr (PBE).

E_form (uncorrected), eV per formula unit: -1.5
Space group: Imm2
Crystal system: orthorhombic

Cell: 4.041 3.994 5.197 Å, 112.60 112.88 90.00°
Element x y z (fractional)
Dy (0.955, 0.955, 0.910)
Ir (0.338, 0.338, 0.676)
Si (0.606, 0.606, 0.212)
Be (0.216, 0.716, 0.433)



Entry 2:
Entry from Alexandria via LeMat-Bulk: a relaxed structure of VTe2PdI (PBE).

E_form (uncorrected), eV per formula unit: 2.4
Space group: P4/mmm
Crystal system: tetragonal

Cell: 5.062 5.062 5.689 Å, 90.00 90.00 90.00°
Element x y z (fractional)
V (0.000, 0.000, 0.000)
Pd (0.500, 0.500, 0.500)
Te (0.500, 0.000, 0.000)
Te (0.000, 0.500, 0.000)
I (0.000, 0.000, 0.500)



Entry 3:
Entry from Alexandria via LeMat-Bulk: a relaxed structure of Pr6Sb3Te2Se (PBE).

E_form (uncorrected), eV per formula unit: -16.9
Space group: C2/m
Crystal system: monoclinic

Cell: 4.511 9.010 10.082 Å, 102.82 102.93 90.00°
Element x y z (fractional)
Se (0.500, 0.000, 0.000)
Pr (0.338, 0.925, 0.676)
Pr (0.997, 0.242, 0.993)
Sb (0.831, 0.165, 0.661)
Pr (0.662, 0.075, 0.324)
Te (0.834, 0.667, 0.668)
Pr (0.664, 0.589, 0.328)
Pr (0.336, 0.411, 0.672)
Sb (0.169, 0.835, 0.339)
Te (0.166, 0.333, 0.332)
Sb (0.500, 0.500, 0.000)
Pr (0.003, 0.758, 0.007)



Entry 4:
Entry from Alexandria via LeMat-Bulk: a relaxed structure of MgCuTe (PBE).

E_form (uncorrected), eV per formula unit: -0.5
Space group: Cm
Crystal system: monoclinic

Cell: 4.948 4.218 7.374 Å, 90.00 120.74 90.00°
Element x y z (fractional)
Te (0.893, 0.500, 0.132)
Cu (0.636, 0.500, 0.376)
Te (0.893, 0.000, 0.632)
Mg (0.342, 0.500, 0.611)
Cu (0.636, 0.000, 0.876)
Mg (0.342, 0.000, 0.111)



Entry 5:
Entry from Alexandria via LeMat-Bulk: a relaxed structure of Si2SbP (PBE).

E_form (uncorrected), eV per formula unit: 2.0
Space group: Imm2
Crystal system: orthorhombic

Cell: 5.421 5.421 5.421 Å, 143.84 120.52 71.63°
Element x y z (fractional)
Si (0.961, 0.961, 0.000)
Sb (0.219, 0.719, 0.500)
Si (0.750, 0.250, 0.500)
P (0.571, 0.571, 0.000)



Entry 6:
Entry from Alexandria via LeMat-Bulk: a relaxed structure of ZrMnCd (PBE).

Energy of formation from the pure elements, kJ/mol of formula units: 51
Space group: P3m1
Crystal system: trigonal

Cell: 4.738 4.738 2.996 Å, 90.00 90.00 120.00°
Element x y z (fractional)
Zr (0.333, 0.667, 0.667)
Cd (0.000, 0.000, 0.165)
Mn (0.667, 0.333, 0.168)



Per-record ρ, g cm⁻³: 9.26, 6.15, 6.60, 5.41, 4.36, 7.37